## i
# BaHgH, relaxed, DFT GGA-PBE
# Total magnetic moment in μB per cell: 0.26
# DOS(E_F) in states/eV/f.u.: 2.84
data_BaHgH
_chemical_formula_sum 'Ba1 Hg1 H1'
_symmetry_space_group_name_H-M 'P 1'
_symmetry_Int_Tables_number 1
_symmetry_space_group_name_Hall 'P 1'
_cell_length_a 4.437
_cell_length_b 4.437
_cell_length_c 5.210
_cell_angle_alpha 90.00
_cell_angle_beta 90.00
_cell_angle_gamma 120.00
loop_
_atom_site_label
_atom_site_fract_x
_atom_site_fract_y
_atom_site_fract_z
Ba1 0.000 0.000 0.000
Hg1 0.333 0.667 0.500
H1 0.667 0.333 0.000

---

## ii
# BaHgH, relaxed, DFT GGA-PBE
# Total magnetic moment in μB per cell: 0.42
# DOS(E_F) in states/eV/f.u.: 1.70
data_BaHgH
_chemical_formula_sum 'Ba2 Hg2 H2'
_symmetry_space_group_name_H-M 'P 1'
_symmetry_Int_Tables_number 1
_symmetry_space_group_name_Hall 'P 1'
_cell_length_a 10.022
_cell_length_b 10.022
_cell_length_c 10.022
_cell_angle_alpha 26.09
_cell_angle_beta 26.09
_cell_angle_gamma 26.09
loop_
_atom_site_label
_atom_site_fract_x
_atom_site_fract_y
_atom_site_fract_z
Ba1 0.107 0.107 0.107
Ba2 0.893 0.893 0.893
Hg1 0.357 0.357 0.357
Hg2 0.643 0.643 0.643
H1 0.200 0.200 0.200
H2 0.800 0.800 0.800

---

## iii
# BaHgH, relaxed, DFT GGA-PBE
# Total magnetic moment in μB per cell: 0.00
# DOS(E_F) in states/eV/f.u.: 1.12
data_BaHgH
_chemical_formula_sum 'Ba2 Hg2 H2'
_symmetry_space_group_name_H-M 'P 1'
_symmetry_Int_Tables_number 1
_symmetry_space_group_name_Hall 'P 1'
_cell_length_a 3.900
_cell_length_b 3.900
_cell_length_c 11.176
_cell_angle_alpha 90.00
_cell_angle_beta 90.00
_cell_angle_gamma 90.00
loop_
_atom_site_label
_atom_site_fract_x
_atom_site_fract_y
_atom_site_fract_z
Ba1 0.000 0.000 0.000
Ba2 0.500 0.500 0.500
Hg1 0.000 0.000 0.296
Hg2 0.500 0.500 0.796
H1 0.000 0.000 0.512
H2 0.500 0.500 0.012

---

## iv
# BaHgH, relaxed, DFT GGA-PBE
# Total magnetic moment in μB per cell: 0.00
# DOS(E_F) in states/eV/f.u.: 1.86
data_BaHgH
_chemical_formula_sum 'Ba6 Hg6 H6'
_symmetry_space_group_name_H-M 'P 1'
_symmetry_Int_Tables_number 1
_symmetry_space_group_name_Hall 'P 1'
_cell_length_a 9.148
_cell_length_b 9.148
_cell_length_c 9.148
_cell_angle_alpha 104.37
_cell_angle_beta 93.27
_cell_angle_gamma 134.01
loop_
_atom_site_label
_atom_site_fract_x
_atom_site_fract_y
_atom_site_fract_z
Ba1 0.164 0.012 0.175
Ba2 0.164 0.488 0.652
Ba3 0.564 0.320 0.744
Ba4 0.576 0.820 0.256
Ba5 0.836 0.512 0.348
Ba6 0.836 0.988 0.825
Hg1 0.037 0.025 0.512
Hg2 0.051 0.323 0.229
Hg3 0.054 0.537 0.017
Hg4 0.094 0.823 0.771
Hg5 0.513 0.525 0.488
Hg6 0.520 0.037 0.983
H1 0.207 0.255 0.749
H2 0.207 0.959 0.453
H3 0.506 0.459 0.251
H4 0.506 0.755 0.547
H5 0.757 0.257 0.500
H6 0.757 0.757 0.000

---

Relative energy table, unit kJ/mol of atoms: i 12.8; ii 0.0; iii 13.8; iv 9.4